No. 1
Pu5HfRh6 (GGA-PBE, relaxed); E = -10.950 eV/atom; crystal system = orthorhombic; theoretical density = 14.26 g cm⁻³; energy of formation = -0.474 eV/atom
1.0
-2.716 -1.947 -3.239
-3.077 -3.748 4.833
-2.085 8.187 0.171
Pu Rh Hf
5 6 1
Cartesian
-4.602 -1.020 1.129
-4.746 1.563 3.040
-1.539 -1.874 2.417
-3.133 0.929 -1.275
-3.277 3.512 0.637
-3.832 -1.275 3.980
-2.053 -1.820 -0.527
-5.670 1.789 0.336
-3.740 -3.874 2.122
-2.208 0.703 1.429
-4.046 3.767 -2.215
0.000 0.000 0.000

---

No. 2
PuHf2Rh (GGA-PBE, relaxed); E = -10.458 eV/atom; crystal system = cubic; theoretical density = 14.83 g cm⁻³; energy of formation = -0.061 eV/atom
1.0
-2.548 -4.083 0.072
2.245 -4.244 -0.337
0.228 -2.912 3.825
Rh Hf Pu
1 2 1
Cartesian
-0.037 -5.619 1.780
-0.019 -2.810 0.890
-0.056 -8.429 2.670
0.000 0.000 0.000

---

No. 3
PuHf4Rh5 (GGA-PBE, relaxed); E = -9.894 eV/atom; crystal system = tetragonal; theoretical density = 13.49 g cm⁻³; energy of formation = -0.804 eV/atom
1.0
-0.118 2.930 1.456
-3.188 0.224 -0.709
-3.791 -7.459 14.699
Rh Hf Pu
5 4 1
Cartesian
-4.972 -4.953 13.242
-2.830 -0.738 4.935
-2.125 0.648 2.204
-3.549 -2.153 7.723
-4.268 -3.567 10.511
-2.261 -4.449 8.767
-3.000 -5.903 11.632
-0.791 -1.556 3.067
-1.530 -3.010 5.931
0.000 0.000 0.000

---

No. 4
PuHfRh (GGA-PBE, relaxed); E = -10.755 eV/atom; crystal system = trigonal; theoretical density = 14.78 g cm⁻³; energy of formation = -0.209 eV/atom
1.0
-0.850 -2.920 -0.403
3.077 -1.352 3.304
-4.416 1.119 1.209
Hf Pu Rh
1 1 1
Cartesian
-0.016 -0.055 -0.008
-2.465 -1.584 1.648
0.293 -1.514 2.470

---

No. 5
PuHf2Rh (GGA-PBE, relaxed); E = -10.552 eV/atom; crystal system = trigonal; theoretical density = 14.10 g cm⁻³; energy of formation = -0.154 eV/atom
1.0
-0.906 -2.018 2.302
-1.925 -2.452 -0.692
6.546 -6.870 -1.234
Hf Pu Rh
2 1 1
Cartesian
0.693 -2.666 0.150
3.022 -8.674 0.226
1.858 -5.670 0.188
0.000 0.000 0.000

---

No. 6
PuHfRh (GGA-PBE, relaxed); E = -10.937 eV/atom; crystal system = monoclinic; theoretical density = 14.11 g cm⁻³; energy of formation = -0.391 eV/atom
1.0
4.593 0.000 0.000
2.296 5.369 0.552
2.296 1.904 5.211
Hf Pu Rh
2 2 2
Cartesian
2.296 1.551 0.632
6.889 5.722 5.131
6.889 4.655 1.921
2.296 2.618 3.842
4.593 2.052 1.989
4.593 5.220 3.774

---

No. 7
PuHfRh4 (GGA-PBE, relaxed); E = -9.460 eV/atom; crystal system = cubic; theoretical density = 13.43 g cm⁻³; energy of formation = -0.511 eV/atom
1.0
-1.484 -5.028 0.468
-0.338 -3.053 -4.275
3.498 -3.859 -0.762
Rh Pu Hf
4 1 1
Cartesian
1.789 -4.949 -3.089
1.216 -5.936 -0.720
-0.700 -5.534 -2.474
1.047 -7.461 -2.855
0.000 0.000 0.000
0.419 -2.985 -1.142

---

No. 8
PuHf2Rh3 (GGA-PBE, relaxed); E = -10.137 eV/atom; crystal system = tetragonal; theoretical density = 13.58 g cm⁻³; energy of formation = -0.755 eV/atom
1.0
-1.096 -1.472 2.689
-1.991 -1.830 -1.813
7.514 -7.269 -0.916
Rh Hf Pu
3 2 1
Cartesian
0.000 0.000 0.000
5.270 -5.097 -0.642
2.245 -2.171 -0.273
-0.342 -2.814 0.292
4.769 -7.757 -0.331
2.214 -5.285 -0.020